(1)
Below is a relaxed structure of NaSb5Se4, with properties calculated at the PBE level.

## Properties
Total moment (μB per cell): 0.00
Energy (eV per atom): -3.753
Uncorrected formation energy (eV/atom): -0.166
Symmetry: Pmmn

abc: 8.450 8.827 9.213
angles: 90.00 90.00 90.00
Fractional positions:
1 Na 0.250 0.250 0.226
2 Na 0.750 0.750 0.774
3 Sb 0.076 0.083 0.709
4 Sb 0.076 0.417 0.709
5 Sb 0.250 0.750 0.840
6 Sb 0.424 0.083 0.709
7 Sb 0.424 0.417 0.709
8 Sb 0.576 0.583 0.291
9 Sb 0.576 0.917 0.291
10 Sb 0.750 0.250 0.160
11 Sb 0.924 0.583 0.291
12 Sb 0.924 0.917 0.291
13 Se 0.003 0.750 0.001
14 Se 0.250 0.024 0.471
15 Se 0.250 0.476 0.471
16 Se 0.497 0.750 0.001
17 Se 0.503 0.250 0.999
18 Se 0.750 0.524 0.529
19 Se 0.750 0.976 0.529
20 Se 0.997 0.250 0.999

***

(2)
Below is a relaxed structure of Cs3K6Pt, with properties calculated at the PBE level.

## Properties
Total moment (μB per cell): 0.00
Energy (eV per atom): -1.496
Symmetry: R-3m

abc: 11.693 11.693 11.693
angles: 77.46 77.46 77.46
Fractional positions:
1 Cs 0.144 0.144 0.496
2 Cs 0.144 0.496 0.144
3 Cs 0.496 0.144 0.144
4 Cs 0.504 0.856 0.856
5 Cs 0.856 0.504 0.856
6 Cs 0.856 0.856 0.504
7 K 0.117 0.820 0.820
8 K 0.180 0.180 0.883
9 K 0.180 0.883 0.180
10 K 0.222 0.535 0.535
11 K 0.465 0.465 0.778
12 K 0.465 0.778 0.465
13 K 0.535 0.222 0.535
14 K 0.535 0.535 0.222
15 K 0.778 0.465 0.465
16 K 0.820 0.117 0.820
17 K 0.820 0.820 0.117
18 K 0.883 0.180 0.180
19 Pt 0.000 0.000 0.000
20 Pt 0.500 0.500 0.500

***

(3)
Below is a relaxed structure of Ce3ZrH, with properties calculated at the PBE level.

## Properties
Total moment (μB per cell): 0.06
Energy (eV per atom): -5.960
Symmetry: Pm-3m

abc: 4.817 4.817 4.817
angles: 90.00 90.00 90.00
Fractional positions:
1 Ce 0.000 0.000 0.500
2 Ce 0.000 0.500 0.000
3 Ce 0.500 0.000 0.000
4 Zr 0.500 0.500 0.500
5 H 0.000 0.000 0.000

***

Question: Among the records above, which one has the highest energy?
Answer: Cs3K6Pt

***

Question: Look up the total moment of the first one.
Answer: 0.00 μB per cell

***

Question: The highest total moment belongs to which entry?
Answer: Ce3ZrH